1.
TcOs3W: relaxed, PBEsol.

Energy of formation from the pure elements = 1267 kJ/mol of formula units

Cell: 4.530 4.530 4.530 Å, 90.00 90.00 90.00°
Each line ends with the local moment (μB).
Element x y z (fractional)
Os1 0.000 0.500 0.000  -0.10
Os2 0.000 0.000 0.500  -0.10
Os3 0.500 0.000 0.000  -0.10
Tc1 0.000 0.000 0.000  0.04
W1 0.500 0.500 0.500  1.10

2.
SrCrS2Cl: relaxed, PBEsol.

Formation energy from raw total energies = -6.012 eV/f.u.

Cell: 4.680 4.680 4.694 Å, 90.00 90.00 90.00°
Each line ends with the local moment (μB).
Element x y z (fractional)
Sr1 0.500 0.500 0.500  0.01
S1 0.000 0.500 0.000  -0.04
S2 0.500 0.000 0.000  -0.04
Cl1 0.000 0.000 0.500  -0.01
Cr1 0.000 0.000 0.000  2.89

3.
LaMn2Fe: relaxed, PBEsol.

Energy of formation from the pure elements = 239 kJ/mol of formula units

Cell: 3.272 4.306 4.518 Å, 90.00 90.00 90.00°
Each line ends with the local moment (μB).
Element x y z (fractional)
Fe1 0.500 0.000 0.500  1.96
La1 0.000 0.500 0.500  -0.20
Mn1 0.000 0.000 0.000  3.27
Mn2 0.500 0.500 0.000  2.79

4.
Mg2FeTc: relaxed, PBEsol.

Energy of formation from the pure elements = 215 kJ/mol of formula units

Cell: 4.419 4.419 4.419 Å, 60.00 60.00 60.00°
Each line ends with the local moment (μB).
Element x y z (fractional)
Fe1 0.000 0.000 0.000  2.65
Mg1 0.250 0.250 0.250  -0.01
Mg2 0.750 0.750 0.750  -0.01
Tc1 0.500 0.500 0.500  1.34

5.
Sr2TcPt: relaxed, PBEsol.

Energy of formation from the pure elements = 263 kJ/mol of formula units

Cell: 3.392 3.392 9.536 Å, 79.75 79.75 60.00°
Each line ends with the local moment (μB).
Element x y z (fractional)
Pt1 0.000 0.000 0.000  -0.02
Sr1 0.252 0.252 0.243  -0.01
Sr2 0.748 0.748 0.757  -0.01
Tc1 0.500 0.500 0.500  1.14

6.
ZnIn2Se: relaxed, PBEsol.

Formation energy from raw total energies = -0.208 eV/f.u.

Cell: 3.533 3.533 7.073 Å, 90.00 90.00 93.49°
Element x y z (fractional)
In1 0.000 0.000 0.253
In2 0.000 0.000 0.747
Se1 0.500 0.500 0.500
Zn1 0.500 0.500 0.000

7.
Rb2HoCl5: relaxed, PBEsol.

Formation energy from raw total energies = -17.226 eV/f.u.

Cell: 7.228 9.305 14.554 Å, 90.00 90.00 90.00°
Element x y z (fractional)
Rb1 0.750 0.828 0.586
Rb2 0.250 0.172 0.414
Rb3 0.250 0.672 0.086
Rb4 0.750 0.328 0.914
Rb5 0.750 0.532 0.292
Rb6 0.250 0.468 0.708
Rb7 0.250 0.968 0.792
Rb8 0.750 0.032 0.208
Ho1 0.750 0.810 0.937
Ho2 0.250 0.190 0.063
Ho3 0.250 0.690 0.437
Ho4 0.750 0.310 0.563
Cl1 0.750 0.968 0.793
Cl2 0.250 0.032 0.207
Cl3 0.250 0.532 0.293
Cl4 0.750 0.468 0.707
Cl5 0.012 0.648 0.887
Cl6 0.988 0.352 0.113
Cl7 0.988 0.852 0.387
Cl8 0.512 0.352 0.113
Cl9 0.012 0.148 0.613
Cl10 0.488 0.648 0.887
Cl11 0.488 0.148 0.613
Cl12 0.512 0.852 0.387
Cl13 0.750 0.719 0.106
Cl14 0.250 0.281 0.894
Cl15 0.250 0.781 0.606
Cl16 0.750 0.219 0.394
Cl17 0.500 0.000 0.000
Cl18 0.500 0.500 0.500
Cl19 0.000 0.000 0.000
Cl20 0.000 0.500 0.500

8.
CdHgIO2: relaxed, PBEsol.

Formation energy from raw total energies = 0.792 eV/f.u.

Cell: 4.170 4.170 6.379 Å, 90.00 90.00 90.00°
Each line ends with the local moment (μB).
Element x y z (fractional)
I1 0.000 0.000 0.500  0.00
Hg1 0.500 0.500 0.500  0.00
O1 0.000 0.500 0.000  0.49
O2 0.500 0.000 0.000  0.49
Cd1 0.000 0.000 0.000  0.01